Compound: MgAl2Ni
Source: Alexandria via LeMat-Bulk
Functional: PBE-GGA
Structure: optimized geometry

Geometry as extended XYZ:
```
8
Lattice="3.956 0.000 0.000 0.000 3.956 0.000 0.000 0.000 7.709" Properties=species:S:1:pos:R:3 pbc="T T T"
Mg 0.000 0.000 0.000
Mg 1.978 1.978 3.855
Al 0.000 1.978 1.927
Al 0.000 1.978 5.782
Al 1.978 0.000 1.927
Al 1.978 0.000 5.782
Ni 0.000 0.000 3.855
Ni 1.978 1.978 0.000
```

uncorrected energy: -3.87 eV/atom
symmetry: I4/mmm
E_form: -0.1548 eV/atom
V: 120.7 Å³ per cell
N(E_F): 0.529 states/eV/atom